[1]
Cr2SiRu | Alexandria | GGA-PBE | relaxed; E_form (uncorrected) = -0.070 eV/atom; space group = P4/mmm, No. 123
1.0
-0.085 -0.792 2.583
-2.409 -1.148 -0.431
3.048 -5.767 -1.669
Cr Si Ru
2 1 1
Direct
0.000 0.000 0.512
0.000 0.000 0.988
0.500 0.500 0.750
0.500 0.500 0.250

[2]
MnAg2H2 | Alexandria | GGA-PBE | relaxed; space group = P4/mbm, No. 127; calculated total energy = -4.06 eV per atom
1.0
5.489 0.000 0.000
0.000 5.489 0.000
0.000 0.000 4.034
Ag Mn H
4 2 4
Direct
0.310 0.190 0.500
0.190 0.690 0.500
0.810 0.310 0.500
0.690 0.810 0.500
0.000 0.000 0.000
0.500 0.500 0.000
0.788 0.288 0.000
0.288 0.212 0.000
0.712 0.788 0.000
0.212 0.712 0.000